Record 1
Fe3Re2: relaxed, GGA-PBE.

energy relative to the lowest polymorph listed for this composition: 393.7 meV/atom
energy relative to the elements: 524 meV per atom
space-group type: P-3m1 (164)

abc: 4.060 4.060 5.000
angles: 90.00 90.00 120.00
Element x y z (fractional)
Fe 0.000 0.000 0.000
Fe 0.333 0.667 0.353
Fe 0.667 0.333 0.647
Re 0.333 0.667 0.827
Re 0.667 0.333 0.173


Record 2
Fe4Re5: relaxed, GGA-PBE.

energy relative to the lowest polymorph listed for this composition: 11.5 meV/atom
energy relative to the elements: 117 meV per atom
space-group type: P6_3/mcm (193)

abc: 7.213 7.213 5.234
angles: 90.00 90.00 120.00
Element x y z (fractional)
Fe 0.000 0.000 0.000
Fe 0.000 0.000 0.500
Fe 0.000 0.333 0.250
Fe 0.000 0.667 0.750
Fe 0.333 0.000 0.250
Fe 0.333 0.333 0.750
Fe 0.667 0.000 0.750
Fe 0.667 0.667 0.250
Re 0.000 0.327 0.750
Re 0.000 0.673 0.250
Re 0.327 0.000 0.750
Re 0.327 0.327 0.250
Re 0.333 0.667 0.000
Re 0.333 0.667 0.500
Re 0.667 0.333 0.000
Re 0.667 0.333 0.500
Re 0.673 0.000 0.250
Re 0.673 0.673 0.750


Record 3
Fe4Re3: relaxed, GGA-PBE.

energy relative to the lowest polymorph listed for this composition: 286.5 meV/atom
energy relative to the elements: 362 meV per atom
space-group type: P6/mmm (191)

abc: 4.992 4.992 4.548
angles: 90.00 90.00 120.00
Element x y z (fractional)
Fe 0.000 0.000 0.237
Fe 0.000 0.000 0.763
Fe 0.333 0.667 0.000
Fe 0.667 0.333 0.000
Re 0.000 0.500 0.500
Re 0.500 0.000 0.500
Re 0.500 0.500 0.500